Computed, not measured: a crystal of CsLi2Te2 relaxed with PBEsol at the meta-GGA SCAN level of DFT.

abc: 4.893 4.893 7.057
angles: 110.28 110.28 90.00
Last column: magnetic moment on the atom in μB.
Fractional positions:
Cs  0.000  0.000  0.000  0.00
Li  0.750  0.250  0.500  -0.01
Li  0.250  0.750  0.500  -0.01
Te  0.362  0.362  0.723  -0.19
Te  0.638  0.638  0.277  -0.19

Computed properties:
VASP energy ... -24.437 eV/atom
Total moment ... 0.7 Bohr magnetons per cell
ΔE_f (raw) ... -491 kJ/mol of formula units
N(E_F) ... 1.60 states/eV/f.u.
Theoretical density ... 4.53 Mg/m³

---

Computed, not measured: a crystal of RePRh relaxed with PBEsol at the meta-GGA SCAN level of DFT.

abc: 2.792 2.792 6.069
angles: 97.48 97.48 115.75
Fractional positions:
P  0.998  0.998  0.997
Rh  0.350  0.350  0.700
Re  0.651  0.651  0.303

Computed properties:
VASP energy ... -38.161 eV/atom
Energy of formation ... 0.262 eV per atom
Total moment ... 0.0 Bohr magnetons per cell
N(E_F) ... 2.42 states/eV/f.u.
Theoretical density ... 12.86 Mg/m³

---

Computed, not measured: a crystal of HgIrPb2O relaxed with PBEsol at the meta-GGA SCAN level of DFT.

abc: 4.483 4.796 4.796
angles: 90.00 90.00 90.00
Fractional positions:
Pb  0.000  0.500  0.000
Pb  0.000  0.000  0.500
O  0.000  0.000  0.000
Hg  0.500  0.000  0.000
Ir  0.500  0.500  0.500

Computed properties:
VASP energy ... -58.938 eV/atom
Total moment ... 0.0 Bohr magnetons per cell
ΔE_f (raw) ... 228 kJ/mol of formula units
N(E_F) ... 2.80 states/eV/f.u.
Theoretical density ... 13.26 Mg/m³

---

Computed, not measured: a crystal of Re2SbSe relaxed with PBEsol at the meta-GGA SCAN level of DFT.

abc: 3.938 4.067 5.214
angles: 109.46 108.59 98.67
Fractional positions:
Sb  0.500  0.000  0.000
Re  0.500  0.500  0.500
Re  0.000  0.000  0.500
Se  0.000  0.500  0.000

Computed properties:
VASP energy ... -48.827 eV/atom
Total moment ... 0.0 Bohr magnetons per cell
ΔE_f (raw) ... 408 kJ/mol of formula units
N(E_F) ... 3.07 states/eV/f.u.
Theoretical density ... 13.31 Mg/m³

---

Computed, not measured: a crystal of Ba3CrHg relaxed with PBEsol at the meta-GGA SCAN level of DFT.

abc: 5.967 5.967 5.967
angles: 90.00 90.00 90.00
Last column: magnetic moment on the atom in μB.
Fractional positions:
Hg  0.500  0.500  0.500  -0.03
Cr  0.000  0.000  0.000  3.71
Ba  0.500  0.000  0.000  -0.06
Ba  0.000  0.000  0.500  -0.06
Ba  0.000  0.500  0.000  -0.06

Computed properties:
VASP energy ... -40.675 eV/atom
Energy of formation ... 0.365 eV per atom
Total moment ... 3.2 Bohr magnetons per cell
N(E_F) ... 4.10 states/eV/f.u.
Theoretical density ... 5.19 Mg/m³

---

Computed, not measured: a crystal of K2AgHg relaxed with PBEsol at the meta-GGA SCAN level of DFT.

abc: 4.125 5.511 6.730
angles: 113.99 107.85 90.00
Fractional positions:
K  0.226  0.726  0.453
K  0.023  0.024  0.046
Hg  0.793  0.292  0.585
Ag  0.458  0.459  0.916

Computed properties:
VASP energy ... -29.169 eV/atom
Energy of formation ... -0.121 eV per atom
Total moment ... 0.0 Bohr magnetons per cell
N(E_F) ... 1.81 states/eV/f.u.
Theoretical density ... 4.88 Mg/m³

---

Computed, not measured: a crystal of TiZnHg3 relaxed with PBEsol at the meta-GGA SCAN level of DFT.

abc: 4.898 4.898 4.898
angles: 90.00 90.00 90.00
Last column: magnetic moment on the atom in μB.
Fractional positions:
Ti  0.500  0.500  0.500  1.94
Hg  0.000  0.500  0.000  0.01
Hg  0.500  0.000  0.000  0.01
Hg  0.000  0.000  0.500  0.01
Zn  0.000  0.000  0.000  -0.01

Computed properties:
VASP energy ... -46.296 eV/atom
Energy of formation ... 0.513 eV per atom
Total moment ... 2.4 Bohr magnetons per cell
N(E_F) ... 2.59 states/eV/f.u.
Theoretical density ... 10.10 Mg/m³

---

Computed, not measured: a crystal of Y2MgSb relaxed with PBEsol at the meta-GGA SCAN level of DFT.

abc: 3.707 3.707 7.840
angles: 90.00 90.00 89.88
Last column: magnetic moment on the atom in μB.
Fractional positions:
Y  0.000  0.000  0.029  0.19
Y  0.500  0.500  0.726  0.23
Sb  0.500  0.500  0.278  0.02
Mg  0.000  0.000  0.466  0.00

Computed properties:
VASP energy ... -24.828 eV/atom
Total moment ... 0.7 Bohr magnetons per cell
ΔE_f (raw) ... -134 kJ/mol of formula units
N(E_F) ... 2.94 states/eV/f.u.
Theoretical density ... 4.99 Mg/m³

---

Question: The highest VASP energy belongs to which entry?
Answer: CsLi2Te2